one) Here is an optimized crystal structure of MgZrCoPb from the Open Quantum Materials Database. Energies are from PBE.

Values from the calculation:
Size of the total moment (μB/cell): 1.11
SG: No. 216

The structure in CIF format:
```
data_MgZrCoPb
_cell_length_a 4.732
_cell_length_b 4.732
_cell_length_c 4.732
_cell_angle_alpha 60.00
_cell_angle_beta 60.00
_cell_angle_gamma 60.00
_symmetry_space_group_name_H-M 'P 1'
_symmetry_Int_Tables_number 1
_symmetry_space_group_name_Hall 'P 1'
loop_
_atom_site_label
_atom_site_fract_x
_atom_site_fract_y
_atom_site_fract_z
Mg1 0.000 0.000 0.000
Zr1 0.250 0.250 0.250
Co1 0.750 0.750 0.750
Pb1 0.500 0.500 0.500
```

=====

two) Here is an optimized crystal structure of MgZrCoPb from the Open Quantum Materials Database. Energies are from PBE.

Values from the calculation:
Size of the total moment (μB/cell): 0.03
SG: No. 216

The structure in CIF format:
```
data_MgZrCoPb
_cell_length_a 4.700
_cell_length_b 4.700
_cell_length_c 4.700
_cell_angle_alpha 60.00
_cell_angle_beta 60.00
_cell_angle_gamma 60.00
_symmetry_space_group_name_H-M 'P 1'
_symmetry_Int_Tables_number 1
_symmetry_space_group_name_Hall 'P 1'
loop_
_atom_site_label
_atom_site_fract_x
_atom_site_fract_y
_atom_site_fract_z
Mg1 0.000 0.000 0.000
Zr1 0.750 0.750 0.750
Co1 0.500 0.500 0.500
Pb1 0.250 0.250 0.250
```

=====

two) is the most stable structure; the next one sits 15.1 kJ/mol of atoms above it.

=====

one) Here is an optimized crystal structure of PmMgCo from the Open Quantum Materials Database. Energies are from PBE.

Values from the calculation:
Size of the total moment (μB/cell): 0.00
SG: No. 216

The structure in CIF format:
```
data_PmMgCo
_cell_length_a 4.730
_cell_length_b 4.730
_cell_length_c 4.730
_cell_angle_alpha 60.00
_cell_angle_beta 60.00
_cell_angle_gamma 60.00
_symmetry_space_group_name_H-M 'P 1'
_symmetry_Int_Tables_number 1
_symmetry_space_group_name_Hall 'P 1'
loop_
_atom_site_label
_atom_site_fract_x
_atom_site_fract_y
_atom_site_fract_z
Pm1 0.000 0.000 0.000
Mg1 0.250 0.250 0.250
Co1 0.750 0.750 0.750
```

=====

two) Here is an optimized crystal structure of PmMgCo from the Open Quantum Materials Database. Energies are from PBE.

Values from the calculation:
Size of the total moment (μB/cell): 0.35
SG: No. 63

The structure in CIF format:
```
data_PmMgCo
_cell_length_a 8.838
_cell_length_b 8.838
_cell_length_c 3.869
_cell_angle_alpha 90.00
_cell_angle_beta 90.00
_cell_angle_gamma 153.87
_symmetry_space_group_name_H-M 'P 1'
_symmetry_Int_Tables_number 1
_symmetry_space_group_name_Hall 'P 1'
loop_
_atom_site_label
_atom_site_fract_x
_atom_site_fract_y
_atom_site_fract_z
Pm1 0.090 0.910 0.750
Pm2 0.910 0.090 0.250
Mg1 0.297 0.703 0.750
Mg2 0.703 0.297 0.250
Co1 0.465 0.535 0.750
Co2 0.535 0.465 0.250
```

=====

two) is the most stable structure; the next one sits 89.5 kJ/mol of atoms above it.